A geometry-optimized NiPF2 structure, computed with PBE with a Hubbard U.

Unit cell a=4.135 b=4.135 c=4.135 alpha=60.00 beta=60.00 gamma=60.00
Fractional coordinates of all 4 atoms:
Ni1 0.000 0.000 0.000
P1 0.500 0.500 0.500
F1 0.250 0.250 0.250
F2 0.750 0.750 0.750

Summary:
- calculated volume (Å³ per cell) = 50.0
- final energy (eV/atom) = -2.9967
- distance to the lowest polymorph of the same formula (kJ/mol of formula units) = 289.2